A plane-wave DFT calculation with PBEsol was carried out for an optimized crystal structure of NaCaPd2Ru.

Calculated values
Space-group type   P4/mmm, No. 123
Energy   -22.53 eV/f.u.
Total magnetic moment   0.00 μB/f.u.
Crystal system   tetragonal
Energy of formation   0.618 eV per atom

Structure (CIF):
```
data_NaCaPd2Ru
_chemical_formula_sum 'Na1 Ca1 Pd2 Ru1'
_cell_length_a 4.784
_cell_length_b 4.784
_cell_length_c 4.950
_cell_angle_alpha 90.00
_cell_angle_beta 90.00
_cell_angle_gamma 90.00
_symmetry_space_group_name_H-M 'P 1'
_symmetry_Int_Tables_number 1
_symmetry_space_group_name_Hall 'P 1'
loop_
_atom_site_label
_atom_site_type_symbol
_atom_site_fract_x
_atom_site_fract_y
_atom_site_fract_z
Na1 Na 0.000 0.000 0.500
Ca1 Ca 0.500 0.500 0.500
Ru1 Ru 0.000 0.000 0.000
Pd1 Pd 0.000 0.500 0.000
Pd2 Pd 0.500 0.000 0.000
```

A plane-wave DFT calculation with PBEsol was carried out for an optimized crystal structure of MnInSb2.

Calculated values
Space-group type   C2/m, No. 12
Energy   -20.54 eV/f.u.
Total magnetic moment   4.05 μB/f.u.
Crystal system   monoclinic

Structure (CIF):
```
data_MnInSb2
_chemical_formula_sum 'Mn1 In1 Sb2'
_cell_length_a 4.199
_cell_length_b 5.018
_cell_length_c 5.018
_cell_angle_alpha 105.76
_cell_angle_beta 101.58
_cell_angle_gamma 101.58
_symmetry_space_group_name_H-M 'P 1'
_symmetry_Int_Tables_number 1
_symmetry_space_group_name_Hall 'P 1'
loop_
_atom_site_label
_atom_site_type_symbol
_atom_site_fract_x
_atom_site_fract_y
_atom_site_fract_z
Sb1 Sb 0.000 0.000 0.500
Sb2 Sb 0.000 0.500 0.000
Mn1 Mn 0.500 0.500 0.500
In1 In 0.500 0.000 0.000
```

A plane-wave DFT calculation with PBEsol was carried out for an optimized crystal structure of KSr2InFe.

Calculated values
Space-group type   P4/mmm, No. 123
Energy   -15.49 eV/f.u.
Total magnetic moment   1.29 μB/f.u.
Crystal system   tetragonal
Energy of formation   0.255 eV per atom

Structure (CIF):
```
data_KSr2InFe
_chemical_formula_sum 'K1 Sr2 In1 Fe1'
_cell_length_a 5.178
_cell_length_b 5.752
_cell_length_c 5.752
_cell_angle_alpha 90.00
_cell_angle_beta 90.00
_cell_angle_gamma 90.00
_symmetry_space_group_name_H-M 'P 1'
_symmetry_Int_Tables_number 1
_symmetry_space_group_name_Hall 'P 1'
loop_
_atom_site_label
_atom_site_type_symbol
_atom_site_fract_x
_atom_site_fract_y
_atom_site_fract_z
In1 In 0.500 0.000 0.000
Sr1 Sr 0.000 0.500 0.000
Sr2 Sr 0.000 0.000 0.500
Fe1 Fe 0.000 0.000 0.000
K1 K 0.500 0.500 0.500
```

A plane-wave DFT calculation with PBEsol was carried out for an optimized crystal structure of SrH2F2.

Calculated values
Space-group type   I4/mmm, No. 139
Energy   -23.75 eV/f.u.
Total magnetic moment   0.00 μB/f.u.
Crystal system   tetragonal

Structure (CIF):
```
data_SrH2F2
_chemical_formula_sum 'Sr1 H2 F2'
_cell_length_a 4.074
_cell_length_b 4.218
_cell_length_c 4.074
_cell_angle_alpha 61.12
_cell_angle_beta 90.00
_cell_angle_gamma 118.88
_symmetry_space_group_name_H-M 'P 1'
_symmetry_Int_Tables_number 1
_symmetry_space_group_name_Hall 'P 1'
loop_
_atom_site_label
_atom_site_type_symbol
_atom_site_fract_x
_atom_site_fract_y
_atom_site_fract_z
H1 H 0.438 0.877 0.562
H2 H 0.562 0.123 0.438
F1 F 0.750 0.500 0.750
F2 F 0.250 0.500 0.250
Sr1 Sr 0.000 0.000 0.000
```

A plane-wave DFT calculation with PBEsol was carried out for an optimized crystal structure of TePb.

Calculated values
Space-group type   R-3m, No. 166
Energy   -7.89 eV/f.u.
Total magnetic moment   0.00 μB/f.u.
Crystal system   trigonal

Structure (CIF):
```
data_TePb
_chemical_formula_sum 'Te2 Pb2'
_cell_length_a 4.417
_cell_length_b 4.417
_cell_length_c 8.509
_cell_angle_alpha 74.96
_cell_angle_beta 74.96
_cell_angle_gamma 60.00
_symmetry_space_group_name_H-M 'P 1'
_symmetry_Int_Tables_number 1
_symmetry_space_group_name_Hall 'P 1'
loop_
_atom_site_label
_atom_site_type_symbol
_atom_site_fract_x
_atom_site_fract_y
_atom_site_fract_z
Pb1 Pb 0.117 0.117 0.648
Pb2 Pb 0.883 0.883 0.352
Te1 Te 0.615 0.615 0.155
Te2 Te 0.385 0.385 0.845
```

A plane-wave DFT calculation with PBEsol was carried out for an optimized crystal structure of Dy5Ni2Bi.

Calculated values
Space-group type   I4/mcm, No. 140
Energy   -45.23 eV/f.u.
Total magnetic moment   0.00 μB/f.u.
Crystal system   tetragonal
Energy of formation   -0.467 eV per atom

Structure (CIF):
```
data_Dy5Ni2Bi
_chemical_formula_sum 'Dy10 Ni4 Bi2'
_cell_length_a 7.567
_cell_length_b 8.524
_cell_length_c 7.567
_cell_angle_alpha 63.65
_cell_angle_beta 90.00
_cell_angle_gamma 116.35
_symmetry_space_group_name_H-M 'P 1'
_symmetry_Int_Tables_number 1
_symmetry_space_group_name_Hall 'P 1'
loop_
_atom_site_label
_atom_site_type_symbol
_atom_site_fract_x
_atom_site_fract_y
_atom_site_fract_z
Dy1 Dy 0.022 0.732 0.478
Dy2 Dy 0.522 0.732 0.290
Dy3 Dy 0.210 0.732 0.978
Dy4 Dy 0.478 0.268 0.710
Dy5 Dy 0.790 0.268 0.022
Dy6 Dy 0.978 0.268 0.522
Dy7 Dy 0.500 0.000 0.500
Dy8 Dy 0.710 0.732 0.790
Dy9 Dy 0.000 0.000 0.000
Dy10 Dy 0.290 0.268 0.210
Bi1 Bi 0.250 0.500 0.750
Bi2 Bi 0.750 0.500 0.250
Ni1 Ni 0.631 0.000 0.869
Ni2 Ni 0.869 0.000 0.369
Ni3 Ni 0.131 0.000 0.631
Ni4 Ni 0.369 0.000 0.131
```

A plane-wave DFT calculation with PBEsol was carried out for an optimized crystal structure of Mg2ZrOsPd.

Calculated values
Space-group type   P4/mmm, No. 123
Energy   -26.17 eV/f.u.
Total magnetic moment   0.00 μB/f.u.
Crystal system   tetragonal
Energy of formation   0.907 eV per atom

Structure (CIF):
```
data_Mg2ZrOsPd
_chemical_formula_sum 'Mg2 Zr1 Os1 Pd1'
_cell_length_a 4.757
_cell_length_b 4.757
_cell_length_c 4.786
_cell_angle_alpha 90.00
_cell_angle_beta 90.00
_cell_angle_gamma 90.00
_symmetry_space_group_name_H-M 'P 1'
_symmetry_Int_Tables_number 1
_symmetry_space_group_name_Hall 'P 1'
loop_
_atom_site_label
_atom_site_type_symbol
_atom_site_fract_x
_atom_site_fract_y
_atom_site_fract_z
Zr1 Zr 0.500 0.500 0.500
Mg1 Mg 0.000 0.500 0.000
Mg2 Mg 0.500 0.000 0.000
Pd1 Pd 0.000 0.000 0.500
Os1 Os 0.000 0.000 0.000
```

A plane-wave DFT calculation with PBEsol was carried out for an optimized crystal structure of RbLiH4N2.

Calculated values
Space-group type   Pnma, No. 62
Energy   -37.15 eV/f.u.
Total magnetic moment   0.00 μB/f.u.
Crystal system   orthorhombic

Structure (CIF):
```
data_RbLiH4N2
_chemical_formula_sum 'Rb4 Li4 H16 N8'
_cell_length_a 3.799
_cell_length_b 7.709
_cell_length_c 11.140
_cell_angle_alpha 90.00
_cell_angle_beta 90.00
_cell_angle_gamma 90.00
_symmetry_space_group_name_H-M 'P 1'
_symmetry_Int_Tables_number 1
_symmetry_space_group_name_Hall 'P 1'
loop_
_atom_site_label
_atom_site_type_symbol
_atom_site_fract_x
_atom_site_fract_y
_atom_site_fract_z
Rb1 Rb 0.750 0.869 0.260
Rb2 Rb 0.750 0.369 0.240
Rb3 Rb 0.250 0.631 0.760
Rb4 Rb 0.250 0.131 0.740
H1 H 0.250 0.739 0.065
H2 H 0.750 0.261 0.935
H3 H 0.960 0.408 0.569
H4 H 0.960 0.908 0.931
H5 H 0.460 0.592 0.431
H6 H 0.040 0.092 0.069
H7 H 0.250 0.239 0.435
H8 H 0.040 0.592 0.431
H9 H 0.750 0.377 0.813
H10 H 0.750 0.877 0.687
H11 H 0.540 0.408 0.569
H12 H 0.750 0.761 0.565
H13 H 0.250 0.123 0.313
H14 H 0.460 0.092 0.069
H15 H 0.540 0.908 0.931
H16 H 0.250 0.623 0.187
Li1 Li 0.750 0.615 0.000
Li2 Li 0.250 0.385 0.000
Li3 Li 0.750 0.115 0.500
Li4 Li 0.250 0.885 0.500
N1 N 0.250 0.157 0.108
N2 N 0.250 0.612 0.094
N3 N 0.750 0.888 0.594
N4 N 0.250 0.657 0.392
N5 N 0.750 0.388 0.906
N6 N 0.250 0.112 0.406
N7 N 0.750 0.343 0.608
N8 N 0.750 0.843 0.892
```

A plane-wave DFT calculation with PBEsol was carried out for an optimized crystal structure of SrTa2P.

Calculated values
Space-group type   Immm, No. 71
Energy   -32.13 eV/f.u.
Total magnetic moment   0.00 μB/f.u.
Crystal system   orthorhombic
Energy of formation   0.151 eV per atom

Structure (CIF):
```
data_SrTa2P
_chemical_formula_sum 'Sr1 Ta2 P1'
_cell_length_a 2.990
_cell_length_b 5.065
_cell_length_c 6.056
_cell_angle_alpha 114.72
_cell_angle_beta 104.29
_cell_angle_gamma 90.00
_symmetry_space_group_name_H-M 'P 1'
_symmetry_Int_Tables_number 1
_symmetry_space_group_name_Hall 'P 1'
loop_
_atom_site_label
_atom_site_type_symbol
_atom_site_fract_x
_atom_site_fract_y
_atom_site_fract_z
Ta1 Ta 0.695 0.695 0.389
Ta2 Ta 0.305 0.305 0.611
P1 P 0.000 0.500 0.000
Sr1 Sr 0.500 0.000 0.000
```

A plane-wave DFT calculation with PBEsol was carried out for an optimized crystal structure of BaTl2In.

Calculated values
Space-group type   F-43m, No. 216
Energy   -11.51 eV/f.u.
Total magnetic moment   0.00 μB/f.u.
Crystal system   cubic
Energy of formation   -0.279 eV per atom

Structure (CIF):
```
data_BaTl2In
_chemical_formula_sum 'Ba1 Tl2 In1'
_cell_length_a 5.564
_cell_length_b 5.564
_cell_length_c 5.564
_cell_angle_alpha 60.00
_cell_angle_beta 60.00
_cell_angle_gamma 60.00
_symmetry_space_group_name_H-M 'P 1'
_symmetry_Int_Tables_number 1
_symmetry_space_group_name_Hall 'P 1'
loop_
_atom_site_label
_atom_site_type_symbol
_atom_site_fract_x
_atom_site_fract_y
_atom_site_fract_z
Tl1 Tl 0.250 0.250 0.250
Tl2 Tl 0.000 0.000 0.000
Ba1 Ba 0.500 0.500 0.500
In1 In 0.750 0.750 0.750
```

A plane-wave DFT calculation with PBEsol was carried out for an optimized crystal structure of CsInN2.

Calculated values
Space-group type   I-42d, No. 122
Energy   -17.75 eV/f.u.
Total magnetic moment   0.00 μB/f.u.
Crystal system   tetragonal

Structure (CIF):
```
data_CsInN2
_chemical_formula_sum 'Cs2 In2 N4'
_cell_length_a 5.220
_cell_length_b 5.220
_cell_length_c 7.406
_cell_angle_alpha 110.64
_cell_angle_beta 110.64
_cell_angle_gamma 90.00
_symmetry_space_group_name_H-M 'P 1'
_symmetry_Int_Tables_number 1
_symmetry_space_group_name_Hall 'P 1'
loop_
_atom_site_label
_atom_site_type_symbol
_atom_site_fract_x
_atom_site_fract_y
_atom_site_fract_z
N1 N 0.560 0.875 0.250
N2 N 0.625 0.440 0.750
N3 N 0.125 0.310 0.750
N4 N 0.690 0.375 0.250
In1 In 0.750 0.250 0.500
In2 In 0.500 0.500 0.000
Cs1 Cs 0.250 0.750 0.500
Cs2 Cs 0.000 0.000 0.000
```

A plane-wave DFT calculation with PBEsol was carried out for an optimized crystal structure of BeTc2Te.

Calculated values
Space-group type   I-4m2, No. 119
Energy   -28.37 eV/f.u.
Energy relative to the lowest polymorph listed for this composition   0.211 eV/atom
Total magnetic moment   0.00 μB/f.u.
Crystal system   tetragonal

Structure (CIF):
```
data_BeTc2Te
_chemical_formula_sum 'Be1 Tc2 Te1'
_cell_length_a 3.803
_cell_length_b 3.803
_cell_length_c 4.800
_cell_angle_alpha 113.33
_cell_angle_beta 113.33
_cell_angle_gamma 90.00
_symmetry_space_group_name_H-M 'P 1'
_symmetry_Int_Tables_number 1
_symmetry_space_group_name_Hall 'P 1'
loop_
_atom_site_label
_atom_site_type_symbol
_atom_site_fract_x
_atom_site_fract_y
_atom_site_fract_z
Te1 Te 0.500 0.500 0.000
Tc1 Tc 0.750 0.250 0.500
Tc2 Tc 0.000 0.000 0.000
Be1 Be 0.250 0.750 0.500
```